No. 1
YB2F (GGA-PBE, relaxed); calculated volume = 13.4 Å³ per atom; uncorrected energy = -49.85 eV/cell; relative energy among the computed polymorphs = 0.0 meV/atom
1.0
-0.115 2.549 2.018
0.367 -1.996 2.542
10.212 1.269 1.602
Y B F
2 4 2
direct
0.000 0.000 0.000
0.750 0.250 0.500
0.375 0.125 0.250
0.375 0.625 0.250
0.375 0.625 0.750
0.875 0.625 0.750
0.500 0.500 0.000
0.250 0.750 0.500

No. 2
YZnB2F (GGA-PBE, relaxed); calculated volume = 21.4 Å³ per atom; uncorrected energy = -20.09 eV/cell
1.0
5.028 0.000 0.000
0.000 4.233 0.000
0.000 0.000 5.028
Y Zn B F
1 1 2 1
direct
0.000 0.000 0.000
0.500 0.500 0.500
0.000 0.000 0.500
0.500 0.000 0.000
0.000 0.500 0.000

No. 3
ZnB2F (GGA-PBE, relaxed); calculated volume = 12.9 Å³ per atom; uncorrected energy = -32.37 eV/cell; relative energy among the computed polymorphs = 0.0 meV/atom
1.0
-2.505 0.267 -1.826
1.022 -2.362 -1.748
-6.020 -7.944 4.446
Zn B F
2 4 2
direct
0.000 0.000 0.000
0.750 0.250 0.500
0.375 0.125 0.250
0.375 0.625 0.250
0.375 0.625 0.750
0.875 0.625 0.750
0.500 0.500 0.000
0.250 0.750 0.500

No. 4
ZnBF6 (GGA-PBE, relaxed); calculated volume = 12.2 Å³ per atom; uncorrected energy = -33.92 eV/cell
1.0
-2.227 -0.236 4.653
0.320 -4.327 2.800
2.920 -0.110 4.258
Zn B F
1 1 6
direct
0.500 0.500 0.500
0.000 0.000 0.000
0.780 0.780 0.220
0.780 0.220 0.220
0.220 0.780 0.780
0.220 0.220 0.780
0.220 0.780 0.220
0.780 0.220 0.780

No. 5
ZnB2F (GGA-PBE, relaxed); calculated volume = 10.7 Å³ per atom; uncorrected energy = -11.50 eV/cell; relative energy among the computed polymorphs = 1171.9 meV/atom
1.0
0.894 -3.624 1.226
-0.701 -1.043 3.722
-2.866 -2.560 0.816
Zn B F
1 2 1
direct
0.500 0.500 0.500
0.250 0.250 0.250
0.750 0.750 0.750
0.000 0.000 0.000

No. 6
Zn3BF (GGA-PBE, relaxed); calculated volume = 14.2 Å³ per atom; uncorrected energy = -14.52 eV/cell; relative energy among the computed polymorphs = 0.0 meV/atom
1.0
4.141 0.000 0.000
0.000 4.141 0.000
0.000 0.000 4.141
Zn B F
3 1 1
direct
0.000 0.500 0.000
0.000 0.000 0.500
0.500 0.000 0.000
0.000 0.000 0.000
0.500 0.500 0.500

No. 7
ZnB3F (GGA-PBE, relaxed); calculated volume = 13.2 Å³ per atom; uncorrected energy = -14.91 eV/cell; relative energy among the computed polymorphs = 0.0 meV/atom
1.0
4.039 0.000 0.000
0.000 4.039 0.000
0.000 0.000 4.039
Zn B F
1 3 1
direct
0.000 0.000 0.000
0.000 0.500 0.000
0.000 0.000 0.500
0.500 0.000 0.000
0.500 0.500 0.500

No. 8
ZnB2F6 (GGA-PBE, relaxed); calculated volume = 17.7 Å³ per atom; uncorrected energy = -93.96 eV/cell
1.0
-2.867 4.185 3.010
-8.205 -0.673 -1.119
-4.889 -3.381 5.804
Zn B F
2 4 12
direct
0.250 0.055 0.945
0.750 0.945 0.055
0.370 0.557 0.778
0.130 0.222 0.443
0.630 0.443 0.222
0.870 0.778 0.557
0.452 0.620 0.589
0.048 0.411 0.380
0.548 0.380 0.411
0.952 0.589 0.620
0.999 0.900 0.403
0.501 0.597 0.100
0.001 0.100 0.597
0.499 0.403 0.900
0.155 0.652 0.844
0.345 0.156 0.348
0.845 0.348 0.156
0.655 0.844 0.652

No. 9
ZnBF3 (GGA-PBE, relaxed); calculated volume = 10.8 Å³ per atom; uncorrected energy = -17.11 eV/cell; relative energy among the computed polymorphs = 175.5 meV/atom
1.0
3.783 0.000 0.000
0.000 3.783 0.000
0.000 0.000 3.783
Zn B F
1 1 3
direct
0.500 0.500 0.500
0.000 0.000 0.000
0.000 0.500 0.000
0.000 0.000 0.500
0.500 0.000 0.000

No. 10
ZnBF3 (GGA-PBE, relaxed); calculated volume = 13.1 Å³ per atom; uncorrected energy = -17.99 eV/cell; relative energy among the computed polymorphs = 0.0 meV/atom
1.0
-1.265 3.085 2.273
-2.694 0.987 -2.838
-2.725 -2.407 1.750
Zn B F
1 1 3
direct
0.000 0.000 0.000
0.500 0.500 0.500
0.000 0.500 0.000
0.000 0.000 0.500
0.500 0.000 0.000

No. 11
ZnBF5 (GGA-PBE, relaxed); calculated volume = 12.8 Å³ per atom; uncorrected energy = -71.19 eV/cell
1.0
-0.245 -5.144 1.307
1.188 -1.411 -4.983
6.642 -2.968 -0.249
Zn B F
2 2 10
direct
0.000 0.000 0.000
0.000 0.000 0.500
0.388 0.612 0.250
0.612 0.388 0.750
0.282 0.724 0.088
0.326 0.328 0.335
0.921 0.079 0.250
0.276 0.718 0.412
0.724 0.282 0.588
0.672 0.674 0.165
0.328 0.326 0.835
0.079 0.921 0.750
0.674 0.672 0.665
0.718 0.276 0.912

No. 12
ZnB3F (GGA-PBE, relaxed); calculated volume = 11.7 Å³ per atom; uncorrected energy = -13.79 eV/cell; relative energy among the computed polymorphs = 224.9 meV/atom
1.0
3.877 0.000 0.000
0.000 3.877 0.000
0.000 0.000 3.877
Zn B F
1 3 1
direct
0.500 0.500 0.500
0.000 0.500 0.000
0.000 0.000 0.500
0.500 0.000 0.000
0.000 0.000 0.000

No. 13
ZrB3F (GGA-PBE, relaxed); calculated volume = 19.8 Å³ per atom; uncorrected energy = -20.99 eV/cell; relative energy among the computed polymorphs = 1015.1 meV/atom
1.0
-3.793 1.473 2.208
-0.923 -4.343 1.311
2.489 0.634 3.852
B Zr F
3 1 1
direct
0.000 0.500 0.000
0.000 0.000 0.500
0.500 0.000 0.000
0.000 0.000 0.000
0.500 0.500 0.500

No. 14
Zr2BF (GGA-PBE, relaxed); calculated volume = 17.7 Å³ per atom; uncorrected energy = -57.72 eV/cell; relative energy among the computed polymorphs = 46.3 meV/atom
1.0
5.134 0.000 0.000
0.000 5.134 0.000
2.567 2.567 5.385
B Zr F
2 4 2
direct
0.500 0.500 0.000
0.250 0.750 0.500
0.612 0.125 0.250
0.138 0.625 0.250
0.375 0.388 0.750
0.875 0.862 0.750
0.000 0.000 0.000
0.750 0.250 0.500

No. 15
ZrB2F (GGA-PBE, relaxed); calculated volume = 13.5 Å³ per atom; uncorrected energy = -49.30 eV/cell; relative energy among the computed polymorphs = 0.0 meV/atom
1.0
7.463 0.000 0.000
0.000 7.463 0.000
3.731 3.731 1.933
B Zr F
4 2 2
direct
0.649 0.125 0.250
0.101 0.625 0.250
0.375 0.351 0.750
0.875 0.899 0.750
0.000 0.000 0.000
0.750 0.250 0.500
0.500 0.500 0.000
0.250 0.750 0.500

No. 16
Zr2BF (GGA-PBE, relaxed); calculated volume = 13.9 Å³ per atom; uncorrected energy = -29.05 eV/cell; relative energy among the computed polymorphs = 0.0 meV/atom
1.0
0.000 3.029 3.029
3.029 0.000 3.029
3.029 3.029 0.000
B Zr F
1 2 1
direct
0.000 0.000 0.000
0.250 0.250 0.250
0.750 0.750 0.750
0.500 0.500 0.500

No. 17
ZrB2F (GGA-PBE, relaxed); calculated volume = 12.0 Å³ per atom; uncorrected energy = -21.51 eV/cell; relative energy among the computed polymorphs = 785.8 meV/atom
1.0
0.000 2.885 2.885
2.885 0.000 2.885
2.885 2.885 0.000
B Zr F
2 1 1
direct
0.250 0.250 0.250
0.750 0.750 0.750
0.500 0.500 0.500
0.000 0.000 0.000

No. 18
ZrB3F (GGA-PBE, relaxed); calculated volume = 10.8 Å³ per atom; uncorrected energy = -26.07 eV/cell; relative energy among the computed polymorphs = 0.0 meV/atom
1.0
3.782 0.000 0.000
0.000 3.782 0.000
0.000 0.000 3.782
B Zr F
3 1 1
direct
0.000 0.500 0.000
0.000 0.000 0.500
0.500 0.000 0.000
0.500 0.500 0.500
0.000 0.000 0.000

No. 19
FeB (GGA-PBE, relaxed); calculated volume = 10.9 Å³ per atom; uncorrected energy = -121.69 eV/cell
1.0
6.674 0.000 0.000
0.000 6.674 0.000
0.000 0.000 3.899
Fe B
8 8
direct
0.370 0.870 0.621
0.630 0.870 0.121
0.370 0.130 0.121
0.630 0.130 0.621
0.130 0.630 0.879
0.870 0.630 0.379
0.130 0.370 0.379
0.870 0.370 0.879
0.322 0.822 0.118
0.678 0.822 0.618
0.322 0.178 0.618
0.678 0.178 0.118
0.178 0.678 0.382
0.822 0.678 0.882
0.178 0.322 0.882
0.822 0.322 0.382

No. 20
FeB (GGA-PBE, relaxed); calculated volume = 8.6 Å³ per atom; uncorrected energy = -59.69 eV/cell
1.0
-1.678 3.427 1.474
-2.109 -2.205 2.725
3.077 0.358 2.671
Fe B
4 4
direct
0.000 0.000 0.000
0.000 0.500 0.500
0.500 0.000 0.500
0.500 0.500 0.000
0.500 0.500 0.500
0.500 0.000 0.000
0.000 0.500 0.000
0.000 0.000 0.500